Below is a geometry-optimized ZnTc2O8 structure, with properties calculated at the PBE level.

Geometry as extended XYZ:
```
11
Lattice="-3.971 -1.272 3.823 4.992 -2.660 0.114 2.160 4.210 3.645" Properties=species:S:1:pos:R:3 pbc="T T T"
O 3.080 0.383 5.555
O 0.328 -2.031 4.116
O 0.274 0.716 4.709
O 0.101 -0.106 2.026
Zn 0.000 0.000 0.000
O -2.079 -0.534 3.813
O 2.853 2.308 3.466
Tc -0.346 -0.493 3.662
Tc 3.527 0.771 3.920
O 5.259 0.811 3.769
O 2.906 -0.439 2.873
```

Output
Space-group type = P-3
Calculated total energy = -6.956 eV/atom


Below is a geometry-optimized Er2Ga4CoPd structure, with properties calculated at the PBE level.

Geometry as extended XYZ:
```
8
Lattice="-5.038 -0.357 -4.402 -2.870 -2.976 3.526 -3.537 1.177 3.953" Properties=species:S:1:pos:R:3 pbc="T T T"
Pd -3.842 -0.550 -0.657
Ga -5.574 -1.254 3.476
Co -5.081 -1.427 5.931
Ga -7.642 -1.400 1.669
Ga -3.282 -0.722 1.887
Er -8.419 -1.836 4.687
Er -0.486 -0.136 0.567
Ga -6.415 -0.944 -0.850
```

Output
Space-group type = Amm2
Calculated total energy = -4.845 eV/atom